1.
Material: TbCo2Ge3
Method: DFT, PBE
State: optimized geometry

a b c (Å): 5.313 6.082 6.082
angles (deg): 103.24 90.00 90.00
Fractional coordinates of all 12 atoms:
1 Tb 0.250 0.342 0.342
2 Tb 0.750 0.658 0.658
3 Co 0.500 0.794 0.206
4 Co 0.000 0.794 0.206
5 Co 0.000 0.206 0.794
6 Co 0.500 0.206 0.794
7 Ge 0.750 0.470 0.116
8 Ge 0.750 0.116 0.470
9 Ge 0.250 0.530 0.884
10 Ge 0.750 0.041 0.041
11 Ge 0.250 0.959 0.959
12 Ge 0.250 0.884 0.530

Values from the calculation:
- E_form (eV per atom) = -0.39

***

2.
Material: KCa3La2Te6
Method: DFT, PBE
State: optimized geometry

a b c (Å): 4.574 9.301 10.261
angles (deg): 102.77 102.88 90.00
Fractional coordinates of all 12 atoms:
1 K 0.500 0.000 0.000
2 Ca 0.500 0.500 0.000
3 Ca 0.837 0.166 0.675
4 Ca 0.163 0.834 0.325
5 La 0.835 0.668 0.671
6 La 0.165 0.332 0.329
7 Te 0.326 0.913 0.651
8 Te 0.667 0.587 0.334
9 Te 0.674 0.087 0.349
10 Te 0.001 0.269 0.001
11 Te 0.999 0.731 0.999
12 Te 0.333 0.413 0.666

Values from the calculation:
- formation energy without anion corrections (eV per atom) = -1.548

***

3.
Material: TaWSe2
Method: DFT, PBE
State: optimized geometry

a b c (Å): 3.212 3.212 8.392
angles (deg): 90.00 90.00 122.77
Fractional coordinates of all 4 atoms:
1 Se 0.000 0.000 0.995
2 Se 0.000 0.000 0.505
3 Ta 0.500 0.500 0.250
4 W 0.500 0.500 0.750

Values from the calculation:
- formation energy without anion corrections (eV per atom) = 0.534

***

4.
Material: LiPdBr
Method: DFT, PBE
State: optimized geometry

a b c (Å): 11.736 4.506 4.506
angles (deg): 132.06 129.87 50.13
Fractional coordinates of all 6 atoms:
1 Br 0.826 0.839 0.161
2 Br 0.174 0.161 0.839
3 Pd 0.608 0.606 0.394
4 Pd 0.392 0.394 0.606
5 Li 0.000 0.000 0.000
6 Li 0.500 0.000 0.000

Values from the calculation:
- formation energy without anion corrections (eV per atom) = -0.600

***

5.
Material: Zn4Pt3Au
Method: DFT, PBE
State: optimized geometry

a b c (Å): 2.899 2.899 14.297
angles (deg): 90.00 90.00 90.00
Fractional coordinates of all 8 atoms:
1 Zn 0.000 0.000 0.864
2 Zn 0.000 0.000 0.136
3 Zn 0.000 0.000 0.379
4 Zn 0.000 0.000 0.621
5 Au 0.500 0.500 0.000
6 Pt 0.500 0.500 0.255
7 Pt 0.500 0.500 0.500
8 Pt 0.500 0.500 0.745

Values from the calculation:
- E_form (eV per atom) = -0.48

***

6.
Material: Ac2AlGe2
Method: DFT, PBE
State: optimized geometry

a b c (Å): 7.749 7.749 9.340
angles (deg): 90.00 90.00 90.00
Fractional coordinates of all 20 atoms:
1 Ac 0.681 0.819 0.500
2 Ac 0.319 0.181 0.500
3 Ac 0.819 0.319 0.000
4 Ac 0.181 0.681 0.000
5 Ac 0.819 0.319 0.500
6 Ac 0.181 0.681 0.500
7 Ac 0.319 0.181 0.000
8 Ac 0.681 0.819 0.000
9 Al 0.500 0.500 0.250
10 Al 0.000 0.000 0.750
11 Al 0.500 0.500 0.750
12 Al 0.000 0.000 0.250
13 Ge 0.381 0.881 0.250
14 Ge 0.619 0.119 0.250
15 Ge 0.119 0.381 0.750
16 Ge 0.881 0.619 0.750
17 Ge 0.881 0.619 0.250
18 Ge 0.119 0.381 0.250
19 Ge 0.381 0.881 0.750
20 Ge 0.619 0.119 0.750

Values from the calculation:
- E_form (eV per atom) = -0.57

***

7.
Material: Sc2TlTc
Method: DFT, PBE
State: optimized geometry

a b c (Å): 3.379 3.378 7.844
angles (deg): 64.36 90.00 90.00
Fractional coordinates of all 4 atoms:
1 Sc 0.000 0.959 0.040
2 Sc 0.000 0.541 0.460
3 Tl 0.500 0.750 0.750
4 Tc 0.500 0.250 0.250

Values from the calculation:
- E_form (eV per atom) = -0.30

***

8.
Material: ThFeCl
Method: DFT, PBE
State: optimized geometry

a b c (Å): 3.956 3.956 11.462
angles (deg): 90.15 99.78 120.00
Site moments in Bohr magnetons follow the coordinates.
Fractional coordinates of all 6 atoms:
1 Th 0.886 0.442 0.328  -0.09
2 Th 0.114 0.558 0.672  -0.09
3 Fe 0.333 0.166 0.499  1.01
4 Fe 0.667 0.834 0.501  1.01
5 Cl 0.561 0.283 0.844  0.00
6 Cl 0.439 0.717 0.156  0.00

Values from the calculation:
- formation energy without anion corrections (eV per atom) = -1.001

***

9.
Material: EuDyPd2
Method: DFT, PBE
State: optimized geometry

a b c (Å): 5.031 5.031 5.031
angles (deg): 60.00 60.00 60.00
Site moments in Bohr magnetons follow the coordinates.
Fractional coordinates of all 4 atoms:
1 Eu 0.000 0.000 0.000  6.78
2 Pd 0.250 0.250 0.250  0.00
3 Pd 0.750 0.750 0.750  0.00
4 Dy 0.500 0.500 0.500  0.08

Values from the calculation:
- E_form (eV per atom) = -0.75

***

10.
Material: LaNd2TmSc
Method: DFT, PBE
State: optimized geometry

a b c (Å): 6.303 9.058 6.257
angles (deg): 109.92 90.00 90.00
Fractional coordinates of all 10 atoms:
1 La 0.000 0.000 0.000
2 La 0.000 0.000 0.500
3 Nd 0.682 0.686 0.842
4 Nd 0.682 0.314 0.658
5 Nd 0.318 0.686 0.342
6 Nd 0.318 0.314 0.158
7 Tm 0.163 0.500 0.750
8 Tm 0.837 0.500 0.250
9 Sc 0.501 0.000 0.250
10 Sc 0.499 0.000 0.750

Values from the calculation:
- E_form (eV per atom) = 0.26

***

11.
Material: HfBTeN2
Method: DFT, PBE
State: optimized geometry

a b c (Å): 3.872 3.872 4.475
angles (deg): 90.00 90.00 90.00
Fractional coordinates of all 5 atoms:
1 B 0.000 0.000 0.000
2 Te 0.000 0.000 0.500
3 Hf 0.500 0.500 0.500
4 N 0.000 0.500 0.000
5 N 0.500 0.000 0.000

Values from the calculation:
- formation energy without anion corrections (eV per atom) = 1.368

***

12.
Material: SrAsPbBr2
Method: DFT, PBE
State: optimized geometry

a b c (Å): 5.742 5.742 5.503
angles (deg): 90.00 90.00 90.00
Fractional coordinates of all 5 atoms:
1 Pb 0.000 0.000 0.000
2 Sr 0.500 0.500 0.500
3 As 0.000 0.000 0.500
4 Br 0.000 0.500 0.000
5 Br 0.500 0.000 0.000

Values from the calculation:
- formation energy without anion corrections (eV per atom) = -0.572

***

13.
Material: PmYBeIr
Method: DFT, PBE
State: optimized geometry

a b c (Å): 4.926 4.926 4.926
angles (deg): 60.00 60.00 60.00
Fractional coordinates of all 4 atoms:
1 Y 0.750 0.750 0.750
2 Be 0.500 0.500 0.500
3 Ir 0.000 0.000 0.000
4 Pm 0.250 0.250 0.250

Values from the calculation:
- E_form (eV per atom) = -0.31

***

14.
Material: HgI2NO
Method: DFT, PBE
State: optimized geometry

a b c (Å): 6.347 6.347 3.966
angles (deg): 90.00 90.00 90.00
Site moments in Bohr magnetons follow the coordinates.
Fractional coordinates of all 5 atoms:
1 I 0.000 0.500 0.000  -0.17
2 I 0.500 0.000 0.000  -0.17
3 Hg 0.000 0.000 0.000  0.00
4 O 0.000 0.000 0.500  0.03
5 N 0.500 0.500 0.500  1.88

Values from the calculation:
- formation energy without anion corrections (eV per atom) = 1.328

***

15.
Material: CoCl
Method: DFT, PBE
State: optimized geometry

a b c (Å): 6.803 6.803 3.319
angles (deg): 90.00 90.00 90.00
Site moments in Bohr magnetons follow the coordinates.
Fractional coordinates of all 8 atoms:
1 Co 0.381 0.381 0.000  1.90
2 Co 0.881 0.119 0.500  1.90
3 Co 0.119 0.881 0.500  1.90
4 Co 0.619 0.619 0.000  1.90
5 Cl 0.289 0.711 0.000  0.10
6 Cl 0.789 0.789 0.500  0.10
7 Cl 0.211 0.211 0.500  0.10
8 Cl 0.711 0.289 0.000  0.10

Values from the calculation:
- formation energy without anion corrections (eV per atom) = 0.039

***

16.
Material: Si3TePt
Method: DFT, PBE
State: optimized geometry

a b c (Å): 4.779 4.779 4.779
angles (deg): 90.00 90.00 90.00
Fractional coordinates of all 5 atoms:
1 Si 0.000 0.500 0.000
2 Si 0.000 0.000 0.500
3 Si 0.500 0.000 0.000
4 Te 0.500 0.500 0.500
5 Pt 0.000 0.000 0.000

Values from the calculation:
- formation energy without anion corrections (eV per atom) = 0.344